Record 1
## InCu2TeF (PBE)

Data for a relaxed structure of InCu2TeF.

Output
- D(E_F) (states/eV per atom) = 0.411
- calculated total energy (eV per atom) = -2.67
- V (Å³/cell) = 134

Lattice parameters (Å, degrees): 4.934 4.934 5.492 90.00 90.00 90.00
Space group P4/mmm (No. 123)
Inequivalent atoms, fractional coordinates:
In: 0.000 0.000 0.000 (multiplicity 1)
Cu: 0.000 0.500 0.000 (multiplicity 2)
Te: 0.000 0.000 0.500 (multiplicity 1)
F: 0.500 0.500 0.500 (multiplicity 1)

***

Record 2
## Mg14CuBi (PBE)

Data for a relaxed structure of Mg14CuBi.

Output
- D(E_F) (states/eV per atom) = 0.531
- calculated total energy (eV per atom) = -1.89
- ΔE to the lowest computed polymorph (kJ/mol of formula units) = 0
- V (Å³/cell) = 358
- energy of formation (meV/atom) = 0

Lattice parameters (Å, degrees): 6.3538 6.3538 10.2359 90.00 90.00 120.00
Space group P-6m2 (No. 187)
Inequivalent atoms, fractional coordinates:
Mg: 0.0000 0.0000 0.2465 (multiplicity 2)
Mg: 0.0021 0.5010 0.2631 (multiplicity 6)
Mg: 0.3271 0.1635 0.5000 (multiplicity 3)
Mg: 0.3366 0.1683 0.0000 (multiplicity 3)
Cu: 0.3333 0.6667 0.5000 (multiplicity 1)
Bi: 0.3333 0.6667 0.0000 (multiplicity 1)

***

Record 3
## Li3Au (PBE)

Data for a relaxed structure of Li3Au.

Output
- D(E_F) (states/eV per atom) = 0.463
- calculated total energy (eV per atom) = -2.54
- V (Å³/cell) = 193
- energy of formation (meV/atom) = -288

Lattice parameters (Å, degrees): 8.5786 8.5786 3.0317 90.00 90.00 120.00
Space group R-3m (No. 166, hexagonal axes)
Inequivalent atoms, fractional coordinates:
Li: 0.0000 0.5000 0.0000 (multiplicity 9)
Au: 0.0000 0.0000 0.0000 (multiplicity 3)